Entry 1:
Material: Ag6SeBrCl2
Method: DFT, GGA-PBE
State: relaxed

Properties
* total DFT energy (no corrections): -27.38 eV per cell
* formation energy from raw total energies: -141.8 meV/atom

Structure (POSCAR):
```
Ag6SeBrCl2
1.0
6.270 -2.990 0.000
6.270 2.990 0.000
-3.119 0.000 6.439
Ag Se Br Cl
6 1 1 2
direct
0.122 0.626 0.635 Ag
0.273 0.273 0.215 Ag
0.374 0.878 0.365 Ag
0.626 0.122 0.635 Ag
0.727 0.727 0.785 Ag
0.878 0.374 0.365 Ag
0.500 0.500 0.500 Se
0.000 0.000 0.000 Br
0.265 0.265 0.846 Cl
0.735 0.735 0.154 Cl
```



Entry 2:
Material: Ag6SeBr2Cl2
Method: DFT, GGA-PBE
State: relaxed

Properties
* total DFT energy (no corrections): -29.91 eV per cell
* formation energy from raw total energies: -207.3 meV/atom

Structure (POSCAR):
```
Ag6SeBr2Cl2
1.0
3.890 -6.139 0.000
3.890 6.139 0.000
-3.618 0.000 6.010
Ag Se Br Cl
6 1 2 2
direct
0.065 0.404 0.672 Ag
0.172 0.172 0.248 Ag
0.404 0.065 0.672 Ag
0.596 0.935 0.328 Ag
0.828 0.828 0.752 Ag
0.935 0.596 0.328 Ag
0.000 0.000 0.500 Se
0.200 0.800 0.000 Br
0.800 0.200 0.000 Br
0.360 0.640 0.500 Cl
0.640 0.360 0.500 Cl
```



Entry 3:
Material: Ag7Se2BrCl2
Method: DFT, GGA-PBE
State: relaxed

Properties
* total DFT energy (no corrections): -34.60 eV per cell
* formation energy from raw total energies: -192.0 meV/atom

Structure (POSCAR):
```
Ag7Se2BrCl2
1.0
-2.344 12.054 2.687
2.344 -12.054 2.687
2.344 12.054 -2.687
Ag Se Br Cl
7 2 1 2
direct
0.000 0.000 0.000 Ag
0.151 0.929 0.222 Ag
0.336 0.435 0.901 Ag
0.533 0.435 0.099 Ag
0.707 0.929 0.778 Ag
0.719 0.289 0.430 Ag
0.860 0.289 0.570 Ag
0.043 0.935 0.108 Se
0.827 0.935 0.892 Se
0.375 0.875 0.500 Br
0.209 0.429 0.779 Cl
0.650 0.429 0.221 Cl
```



Entry 4:
Material: Ag6Se2BrCl2
Method: DFT, GGA-PBE
State: relaxed

Properties
* total DFT energy (no corrections): -31.54 eV per cell
* formation energy from raw total energies: -190.7 meV/atom

Structure (POSCAR):
```
Ag6Se2BrCl2
1.0
7.502 0.000 0.000
-3.680 6.538 0.000
-0.273 -4.184 7.116
Ag Se Br Cl
6 2 1 2
direct
0.014 0.214 0.139 Ag
0.382 0.872 0.754 Ag
0.426 0.626 0.141 Ag
0.574 0.374 0.859 Ag
0.618 0.128 0.246 Ag
0.986 0.786 0.861 Ag
0.365 0.176 0.041 Se
0.635 0.824 0.959 Se
0.000 0.500 0.000 Br
0.333 0.594 0.431 Cl
0.667 0.406 0.569 Cl
```



Entry 5:
Material: Ag2SeBrCl
Method: DFT, GGA-PBE
State: relaxed

Properties
* total DFT energy (no corrections): -12.62 eV per cell
* formation energy from raw total energies: 17.8 meV/atom

Structure (POSCAR):
```
Ag2SeBrCl
1.0
5.190 0.000 0.000
0.000 5.190 0.000
0.000 0.000 4.894
Ag Se Br Cl
2 1 1 1
direct
0.000 0.500 0.000 Ag
0.500 0.000 0.000 Ag
0.000 0.000 0.000 Se
0.500 0.500 0.500 Br
0.000 0.000 0.500 Cl
```



Entry 6:
Material: AgSe2BrCl
Method: DFT, GGA-PBE
State: relaxed

Properties
* relative energy among the computed polymorphs: 0.000 eV per atom
* total DFT energy (no corrections): -10.46 eV per cell
* formation energy from raw total energies: 576.9 meV/atom

Structure (POSCAR):
```
AgSe2BrCl
1.0
5.271 0.000 0.000
0.000 5.271 0.000
0.000 0.000 5.170
Ag Se Br Cl
1 2 1 1
direct
0.000 0.000 0.000 Ag
0.000 0.500 0.000 Se
0.500 0.000 0.000 Se
0.000 0.000 0.500 Br
0.500 0.500 0.500 Cl
```



Entry 7:
Material: AgSe2BrCl
Method: DFT, GGA-PBE
State: relaxed

Properties
* relative energy among the computed polymorphs: 0.116 eV per atom
* total DFT energy (no corrections): -9.87 eV per cell
* formation energy from raw total energies: 693.2 meV/atom

Structure (POSCAR):
```
AgSe2BrCl
1.0
4.763 0.000 0.000
0.000 4.763 0.000
0.000 0.000 7.316
Ag Se Br Cl
1 2 1 1
direct
0.000 0.000 0.000 Ag
0.000 0.500 0.500 Se
0.500 0.000 0.500 Se
0.500 0.500 0.000 Br
0.500 0.500 0.500 Cl
```



Entry 8:
Material: AgSnBrCl2
Method: DFT, GGA-PBE
State: relaxed

Properties
* total DFT energy (no corrections): -31.33 eV per cell
* formation energy from raw total energies: -689.2 meV/atom

Structure (POSCAR):
```
AgSnBrCl2
1.0
7.919 0.000 0.000
0.000 5.669 0.000
-3.434 0.000 7.551
Ag Sn Br Cl
2 2 2 4
direct
0.127 0.250 0.435 Ag
0.873 0.750 0.565 Ag
0.195 0.250 0.935 Sn
0.805 0.750 0.065 Sn
0.410 0.250 0.746 Br
0.590 0.750 0.254 Br
0.099 0.750 0.358 Cl
0.112 0.750 0.890 Cl
0.888 0.250 0.110 Cl
0.901 0.250 0.642 Cl
```